Material: PmYBeGe
Method: DFT, PBE
State: relaxed

abc: 4.991 4.991 4.991
angles: 60.00 60.00 60.00
Sites, in units of the cell vectors:
Y  0.500  0.500  0.500
Be  0.750  0.750  0.750
Ge  0.250  0.250  0.250
Pm  0.000  0.000  0.000

Results
Calculated volume in Å³ per atom: 21.98
Calculated total energy in eV per atom: -5.173

Material: Pm2Be3ZnGe4
Method: DFT, PBE
State: relaxed

abc: 4.176 4.176 9.745
angles: 90.00 90.00 90.00
Sites, in units of the cell vectors:
Pm  0.500  0.000  0.241
Pm  0.000  0.500  0.759
Be  0.000  0.000  0.500
Be  0.500  0.000  0.879
Be  0.000  0.500  0.121
Zn  0.500  0.500  0.500
Ge  0.500  0.500  0.000
Ge  0.000  0.000  0.000
Ge  0.500  0.000  0.643
Ge  0.000  0.500  0.357

Results
Calculated volume in Å³ per atom: 16.99
Calculated total energy in eV per atom: -4.390

Material: Pm2Be4ZnGe3
Method: DFT, PBE
State: relaxed

abc: 4.003 4.003 9.856
angles: 90.00 90.00 90.00
Sites, in units of the cell vectors:
Pm  0.500  0.000  0.249
Pm  0.000  0.500  0.751
Be  0.500  0.500  0.000
Be  0.000  0.000  0.000
Be  0.500  0.000  0.633
Be  0.000  0.500  0.367
Zn  0.500  0.500  0.500
Ge  0.000  0.000  0.500
Ge  0.500  0.000  0.868
Ge  0.000  0.500  0.132

Results
Calculated volume in Å³ per atom: 15.79
Calculated total energy in eV per atom: -4.347

Repeat the third record exactly.
Material: Pm2Be4ZnGe3
Method: DFT, PBE
State: relaxed

abc: 4.003 4.003 9.856
angles: 90.00 90.00 90.00
Sites, in units of the cell vectors:
Pm  0.500  0.000  0.249
Pm  0.000  0.500  0.751
Be  0.500  0.500  0.000
Be  0.000  0.000  0.000
Be  0.500  0.000  0.633
Be  0.000  0.500  0.367
Zn  0.500  0.500  0.500
Ge  0.000  0.000  0.500
Ge  0.500  0.000  0.868
Ge  0.000  0.500  0.132

Results
Calculated volume in Å³ per atom: 15.79
Calculated total energy in eV per atom: -4.347

Question: calculated total energy of number 2 (Pm2Be3ZnGe4)?
Answer: -4.390 eV per atom